No. 1
A geometry-optimized Ca5HoPd6 structure, computed with PBE.

Summary:
As for the energy of formation: -0.73 eV per atom. The calculation puts the density of states at the Fermi level at 3.47 states/eV/cell. The calculation puts the calculated density at 6.331 g/cm³. The value obtained for the raw total energy is -4.539 eV/atom.

Cell and atoms, written as POSCAR:
```
Ca5HoPd6
1.0
4.710 -0.028 1.569
0.038 7.112 0.013
-0.003 -0.014 7.860
Ca Ho Pd
5 1 6
Cartesian
3.155 3.528 6.297
1.551 -0.014 3.196
0.019 3.556 0.006
3.155 -0.028 6.234
1.589 3.542 3.145
0.000 0.000 0.000
3.987 5.347 3.834
3.967 1.708 3.828
2.364 1.629 0.788
2.384 5.455 0.795
0.777 5.361 5.615
0.758 1.722 5.608
```

No. 2
A geometry-optimized CaHo2Pd structure, computed with PBE.

Summary:
As for the energy of formation: -0.31 eV per atom. The calculation puts the density of states at the Fermi level at 4.69 states/eV/cell. The calculation puts the calculated density at 6.037 g/cm³. The value obtained for the raw total energy is -4.399 eV/atom. The calculation puts the energy above the most stable polymorph in this dataset at 0.063 eV per atom.

Cell and atoms, written as POSCAR:
```
CaHo2Pd
1.0
4.056 0.000 0.000
2.028 3.513 0.000
2.028 1.171 9.195
Ca Ho Pd
1 2 1
Cartesian
4.056 2.342 4.570
2.028 1.171 7.689
2.028 1.171 1.521
4.056 2.342 0.012
```

No. 3
A geometry-optimized CaHoPd4 structure, computed with PBE.

Summary:
As for the energy of formation: -0.52 eV per atom. The calculation puts the density of states at the Fermi level at 4.46 states/eV/cell. The calculation puts the calculated density at 7.906 g/cm³. The value obtained for the raw total energy is -5.078 eV/atom. The calculation puts the energy above the most stable polymorph in this dataset at 0.221 eV per atom.

Cell and atoms, written as POSCAR:
```
CaHoPd4
1.0
-1.147 -3.480 -1.281
-0.965 -1.016 3.626
-8.099 3.135 -1.273
Ca Ho Pd
1 1 4
Cartesian
-9.139 0.879 -0.109
-4.998 0.543 2.980
-3.645 -1.944 2.644
-7.498 -0.450 2.036
-6.441 1.798 0.863
-2.591 0.305 1.471
```

No. 4
A geometry-optimized CaHo4Pd5 structure, computed with PBE.

Summary:
As for the energy of formation: -0.87 eV per atom. The calculation puts the density of states at the Fermi level at 5.85 states/eV/cell. The calculation puts the calculated density at 9.509 g/cm³. The value obtained for the raw total energy is -5.500 eV/atom.

Cell and atoms, written as POSCAR:
```
CaHo4Pd5
1.0
-3.239 0.789 0.955
-0.064 -2.777 2.076
6.378 9.911 13.454
Ca Ho Pd
1 4 5
Cartesian
0.000 0.000 0.000
1.286 1.998 2.713
2.559 3.976 5.397
3.819 5.935 8.057
5.092 7.913 10.741
-0.936 0.119 3.026
0.281 2.009 5.592
1.537 3.961 8.242
2.794 5.914 10.893
4.010 7.804 13.459
```

No. 5
A geometry-optimized CaHo5Pd6 structure, computed with PBE.

Summary:
As for the energy of formation: -0.88 eV per atom. The calculation puts the density of states at the Fermi level at 5.78 states/eV/cell. The calculation puts the calculated density at 9.720 g/cm³. The value obtained for the raw total energy is -5.552 eV/atom.

Cell and atoms, written as POSCAR:
```
CaHo5Pd6
1.0
-2.773 0.904 4.003
-4.349 -5.594 -4.824
7.856 -1.964 2.812
Ca Ho Pd
1 5 6
Cartesian
0.000 0.000 0.000
4.484 -2.102 3.572
3.805 -3.169 0.278
0.367 -3.327 0.996
-0.299 -4.389 -2.290
-3.751 -4.552 -1.580
2.302 -1.100 1.838
2.654 -4.298 2.795
-1.190 -1.330 2.535
1.923 -5.324 -0.544
-1.921 -2.356 -0.804
-1.569 -5.554 0.154
```

No. 6
A geometry-optimized CaHoPd structure, computed with PBE.

Summary:
As for the energy of formation: -0.53 eV per atom. The calculation puts the density of states at the Fermi level at 2.35 states/eV/cell. The calculation puts the calculated density at 6.373 g/cm³. The value obtained for the raw total energy is -4.453 eV/atom. The calculation puts the energy above the most stable polymorph in this dataset at 0.000 eV per atom.

Cell and atoms, written as POSCAR:
```
CaHoPd
1.0
3.557 0.000 0.000
0.000 3.557 0.000
-1.779 -1.779 6.413
Ca Ho Pd
1 1 1
Cartesian
0.000 0.000 0.361
0.000 0.000 3.754
1.779 1.779 2.297
```

No. 7
A geometry-optimized CaHo2Pd structure, computed with PBE.

Summary:
As for the energy of formation: -0.37 eV per atom. The calculation puts the density of states at the Fermi level at 4.35 states/eV/cell. The calculation puts the calculated density at 6.821 g/cm³. The value obtained for the raw total energy is -4.462 eV/atom. The calculation puts the energy above the most stable polymorph in this dataset at 0.000 eV per atom.

Cell and atoms, written as POSCAR:
```
CaHo2Pd
1.0
-0.650 -2.356 -2.520
-0.591 -2.450 2.443
-9.112 2.349 0.154
Ca Ho Pd
1 2 1
Cartesian
-5.176 -1.228 0.039
-7.483 1.929 0.126
-1.629 0.420 0.028
-0.620 -2.403 -0.038
```

No. 8
A geometry-optimized CaHoPd structure, computed with PBE.

Summary:
As for the energy of formation: -0.44 eV per atom. The calculation puts the density of states at the Fermi level at 5.17 states/eV/cell. The calculation puts the calculated density at 5.719 g/cm³. The value obtained for the raw total energy is -4.365 eV/atom. The calculation puts the energy above the most stable polymorph in this dataset at 0.088 eV per atom.

Cell and atoms, written as POSCAR:
```
CaHoPd
1.0
-1.838 -2.369 -2.565
-2.477 -2.779 1.307
-11.226 7.633 0.993
Ca Ho Pd
2 2 2
Cartesian
-12.193 5.817 1.243
-11.120 1.950 1.007
-5.882 2.366 -0.097
-4.785 -1.520 -0.327
-7.412 -2.219 -0.835
-8.642 1.782 -0.615
```